The following is a PBE-GGA calculation of a relaxed Fe4Si23 crystal, from Alexandria.

Cell lengths 10.120, 10.120, 10.120 Å; angles 90.00, 90.00, 90.00 degrees
Fractional coordinates of all 54 atoms:
Si 0.183 0.817 0.183
Si 0.810 0.500 0.384
Si 0.500 0.384 0.190
Si 0.310 0.116 0.000
Fe 0.500 0.000 0.750
Fe 0.000 0.750 0.500
Si 0.884 0.000 0.690
Si 0.000 0.310 0.884
Si 0.884 0.000 0.310
Si 0.384 0.810 0.500
Si 0.616 0.190 0.500
Si 0.810 0.500 0.616
Si 0.183 0.183 0.183
Si 0.683 0.317 0.317
Si 0.817 0.817 0.817
Si 0.116 0.000 0.690
Si 0.384 0.190 0.500
Si 0.683 0.683 0.317
Si 0.190 0.500 0.616
Fe 0.000 0.000 0.000
Si 0.500 0.384 0.810
Si 0.500 0.250 0.000
Fe 0.000 0.250 0.500
Si 0.817 0.183 0.817
Si 0.817 0.817 0.183
Si 0.690 0.116 0.000
Si 0.317 0.683 0.683
Si 0.616 0.810 0.500
Fe 0.250 0.500 0.000
Si 0.500 0.750 0.000
Si 0.000 0.310 0.116
Si 0.750 0.000 0.500
Si 0.000 0.500 0.750
Si 0.317 0.317 0.317
Si 0.817 0.183 0.183
Fe 0.750 0.500 0.000
Si 0.183 0.817 0.817
Fe 0.500 0.000 0.250
Si 0.500 0.616 0.810
Fe 0.500 0.500 0.500
Si 0.190 0.500 0.384
Si 0.183 0.183 0.817
Si 0.310 0.884 0.000
Si 0.000 0.690 0.116
Si 0.317 0.317 0.683
Si 0.683 0.683 0.683
Si 0.000 0.690 0.884
Si 0.116 0.000 0.310
Si 0.317 0.683 0.317
Si 0.690 0.884 0.000
Si 0.250 0.000 0.500
Si 0.000 0.500 0.250
Si 0.683 0.317 0.683
Si 0.500 0.616 0.190

Computed properties:
The value obtained for the magnetization is 8.1 μB/f.u. The value obtained for the formation energy (no corrections) is 534 meV per atom. As for the space group: No. 223.

The following is a PBE-GGA calculation of a relaxed Fe4Si crystal, from Alexandria.

Cell lengths 9.681, 9.590, 2.523 Å; angles 84.53, 80.43, 15.04 degrees
Fractional coordinates of all 5 atoms:
Fe 0.594 0.594 0.406
Fe 0.198 0.198 0.802
Fe 0.406 0.406 0.594
Fe 0.802 0.802 0.198
Si 0.000 0.000 0.000

Computed properties:
The energy relative to the lowest polymorph listed for this composition is 0.087 eV per atom. The value obtained for the magnetization is 8.9 μB/f.u. The value obtained for the formation energy (no corrections) is -76 meV per atom. As for the space group: No. 69.

The following is a PBE-GGA calculation of a relaxed FeSi3 crystal, from Alexandria.

Cell lengths 4.268, 4.268, 2.783 Å; angles 90.00, 90.00, 109.47 degrees
Fractional coordinates of all 4 atoms:
Si 0.500 0.500 0.000
Si 0.500 0.000 0.500
Fe 0.000 0.000 0.000
Si 0.000 0.500 0.500

Computed properties:
The value obtained for the magnetization is 0.0 μB/f.u. The value obtained for the formation energy (no corrections) is 131 meV per atom. As for the space group: No. 65.

The following is a PBE-GGA calculation of a relaxed FeSi3 crystal, from Alexandria.

Cell lengths 2.795, 3.506, 5.665 Å; angles 63.62, 90.00, 90.00 degrees
Fractional coordinates of all 4 atoms:
Fe 0.000 0.000 0.000
Si 0.500 0.272 0.234
Si 0.000 0.500 0.500
Si 0.500 0.728 0.766

Computed properties:
The value obtained for the magnetization is 0.0 μB/f.u. The value obtained for the formation energy (no corrections) is 153 meV per atom. As for the space group: No. 10.

no.,VASP energy (eV/cell)
1,-288.34
2,-39.65
3,-24.21
4,-24.12